No. 1
Hg2As2Pb | PBE | relaxed

Geometry as CIF:
```
data_Hg2As2Pb
_cell_length_a 4.541
_cell_length_b 4.541
_cell_length_c 12.392
_cell_angle_alpha 90.00
_cell_angle_beta 90.00
_cell_angle_gamma 90.00
_space_group_name_H-M_alt 'I 4/m m m'
_space_group_IT_number 139
_space_group_name_Hall '-I 4 2'
loop_
_atom_site_label
_atom_site_type_symbol
_atom_site_fract_x
_atom_site_fract_y
_atom_site_fract_z
Hg1 Hg 0.000 0.000 0.111
As1 As 0.000 0.500 0.250
Pb1 Pb 0.000 0.000 0.500
```

Computed properties:
distance to the lowest polymorph of the same formula = 133 meV/atom
energy of formation from the pure elements = 0.27 eV per atom
crystal system = tetragonal


No. 2
AcInSi | PBE | relaxed

Geometry as CIF:
```
data_AcInSi
_cell_length_a 16.630
_cell_length_b 4.824
_cell_length_c 4.222
_cell_angle_alpha 90.00
_cell_angle_beta 104.63
_cell_angle_gamma 90.00
_space_group_name_H-M_alt 'C 1 2/m 1'
_space_group_IT_number 12
loop_
_space_group_symop_operation_xyz
'x,y,z'
'-x,-y,-z'
'-x,y,-z'
'x,-y,z'
'x+1/2,y+1/2,z'
'-x+1/2,-y+1/2,-z'
'-x+1/2,y+1/2,-z'
'x+1/2,-y+1/2,z'
loop_
_atom_site_label
_atom_site_type_symbol
_atom_site_fract_x
_atom_site_fract_y
_atom_site_fract_z
Ac1 Ac 0.106 0.000 0.344
In1 In 0.207 0.500 0.875
Si1 Si 0.039 0.500 0.786
```

Computed properties:
distance to the lowest polymorph of the same formula = 0 meV/atom
crystal system = monoclinic


No. 3
Cs2AuN2 | PBE | relaxed

Geometry as CIF:
```
data_Cs2AuN2
_cell_length_a 10.597
_cell_length_b 6.067
_cell_length_c 6.219
_cell_angle_alpha 90.00
_cell_angle_beta 125.33
_cell_angle_gamma 90.00
_space_group_name_H-M_alt 'C 1 2/m 1'
_space_group_IT_number 12
loop_
_space_group_symop_operation_xyz
'x,y,z'
'-x,-y,-z'
'-x,y,-z'
'x,-y,z'
'x+1/2,y+1/2,z'
'-x+1/2,-y+1/2,-z'
'-x+1/2,y+1/2,-z'
'x+1/2,-y+1/2,z'
loop_
_atom_site_label
_atom_site_type_symbol
_atom_site_fract_x
_atom_site_fract_y
_atom_site_fract_z
Cs1 Cs 0.249 0.000 0.250
Au1 Au 0.000 0.000 0.500
N1 N 0.037 0.500 0.115
```

Computed properties:
distance to the lowest polymorph of the same formula = 8 meV/atom
crystal system = monoclinic


No. 4
CsInBiSe3 | PBE | relaxed

Geometry as CIF:
```
data_CsInBiSe3
_cell_length_a 9.345
_cell_length_b 4.861
_cell_length_c 10.568
_cell_angle_alpha 90.00
_cell_angle_beta 107.99
_cell_angle_gamma 90.00
_space_group_name_H-M_alt 'P 1 21/m 1'
_space_group_IT_number 11
loop_
_space_group_symop_operation_xyz
'x,y,z'
'-x,-y,-z'
'-x,y+1/2,-z'
'x,-y+1/2,z'
loop_
_atom_site_label
_atom_site_type_symbol
_atom_site_fract_x
_atom_site_fract_y
_atom_site_fract_z
Cs1 Cs 0.207 0.250 0.231
In1 In 0.117 0.250 0.604
Bi1 Bi 0.336 0.750 0.876
Se1 Se 0.129 0.250 0.861
Se2 Se 0.198 0.750 0.534
Se3 Se 0.464 0.750 0.146
```

Computed properties:
crystal system = monoclinic


No. 5
GdPuTlAu | PBE | relaxed

Geometry as CIF:
```
data_GdPuTlAu
_cell_length_a 7.505
_cell_length_b 7.505
_cell_length_c 7.505
_cell_angle_alpha 90.00
_cell_angle_beta 90.00
_cell_angle_gamma 90.00
_space_group_name_H-M_alt 'F -4 3 m'
_space_group_IT_number 216
_space_group_name_Hall 'F -4 2 3'
loop_
_atom_site_label
_atom_site_type_symbol
_atom_site_fract_x
_atom_site_fract_y
_atom_site_fract_z
Gd1 Gd 0.000 0.000 0.000
Pu1 Pu 0.000 0.000 0.500
Tl1 Tl 0.250 0.250 0.250
Au1 Au 0.250 0.250 0.750
```

Computed properties:
energy of formation from the pure elements = -0.33 eV per atom
crystal system = cubic


No. 6
SnAu3 | PBE | relaxed

Geometry as CIF:
```
data_SnAu3
_cell_length_a 3.333
_cell_length_b 9.296
_cell_length_c 5.105
_cell_angle_alpha 90.00
_cell_angle_beta 90.00
_cell_angle_gamma 90.00
_space_group_name_H-M_alt 'I m m 2'
_space_group_IT_number 44
loop_
_space_group_symop_operation_xyz
'x,y,z'
'-x,-y,z'
'-x,y,z'
'x,-y,z'
'x+1/2,y+1/2,z+1/2'
'-x+1/2,-y+1/2,z+1/2'
'-x+1/2,y+1/2,z+1/2'
'x+1/2,-y+1/2,z+1/2'
loop_
_atom_site_label
_atom_site_type_symbol
_atom_site_fract_x
_atom_site_fract_y
_atom_site_fract_z
Sn1 Sn 0.000 0.000 0.000
Au1 Au 0.000 0.240 0.643
Au2 Au 0.000 0.500 0.974
```

Computed properties:
energy of formation from the pure elements = -0.03 eV per atom
crystal system = orthorhombic


| no. | raw total energy (eV per formula unit) |
| --- | --- |
| 1 | -12.25 |
| 2 | -13.75 |
| 3 | -22.54 |
| 4 | -21.73 |
| 5 | -35.39 |
| 6 | -13.97 |